Here is MgAlAu5 after structural relaxation from the Alexandria database. Energies are from PBE.

abc: 4.2332 4.2332 7.1925
angles: 90.00 90.00 90.00
Last column: nearest neighbours and their distance in Å.
Positions (direct):
Mg1 0.0000 0.0000 0.0000  12 Au 2.95-2.99
Al1 0.0000 0.0000 0.5000  8 Au 2.62
Au1 0.0000 0.5000 0.2851  2 Al 2.62
Au2 0.0000 0.5000 0.7149  2 Al 2.62
Au3 0.5000 0.0000 0.2851  2 Al 2.62
Au4 0.5000 0.0000 0.7149  2 Al 2.62
Au5 0.5000 0.5000 0.0000  8 Au 2.95, 4 Mg 2.99

The calculation puts the energy above the most stable polymorph in this dataset at 0 meV/atom. The energy of formation from the pure elements comes out at -330 meV per atom.

***

Here is TiCdIn after structural relaxation from the Alexandria database. Energies are from PBE.

abc: 4.7694 4.7694 3.0998
angles: 90.00 90.00 120.00
Last column: nearest neighbours and their distance in Å.
Positions (direct):
Ti1 0.0000 0.0000 0.0000  2 Ti 3.10, 6 In 3.16, 6 Cd 3.16
Cd1 0.6667 0.3333 0.5000  3 In 2.75
In1 0.3333 0.6667 0.5000  3 Cd 2.75

The energy of formation from the pure elements comes out at 62 meV per atom.

***

Here is CoTcHRh2 after structural relaxation from the Alexandria database. Energies are from PBE.

abc: 3.8226 3.8226 3.8952
angles: 90.00 90.00 90.00
Last column: nearest neighbours and their distance in Å.
Positions (direct):
Co1 0.0000 0.0000 0.0000  4 Tc 2.70, 8 Rh 2.73
Tc1 0.5000 0.5000 0.0000  2 H 1.95
H1 0.5000 0.5000 0.5000  4 Rh 1.91, 2 Tc 1.95
Rh1 0.0000 0.5000 0.5000  2 H 1.91
Rh2 0.5000 0.0000 0.5000  2 H 1.91

The calculation puts the energy above the most stable polymorph in this dataset at 24 meV/atom.

***

Here is CuRePb2 after structural relaxation from the Alexandria database. Energies are from PBE.

abc: 3.5489 3.5489 6.2914
angles: 90.00 90.00 90.00
Last column: nearest neighbours and their distance in Å.
Positions (direct):
Cu1 0.0000 0.0000 0.0000  8 Pb 2.96, 2 Re 3.15
Re1 0.0000 0.0000 0.5000  8 Pb 2.96, 2 Cu 3.15
Pb1 0.5000 0.5000 0.2501  4 Re 2.96, 4 Cu 2.96, 2 Pb 3.14-3.15
Pb2 0.5000 0.5000 0.7499  4 Re 2.96, 4 Cu 2.96, 2 Pb 3.14-3.15

The calculation puts the energy above the most stable polymorph in this dataset at 218 meV/atom. The energy of formation from the pure elements comes out at 812 meV per atom.

***

Here is Zn2AgTeOs after structural relaxation from the Alexandria database. Energies are from PBE.

abc: 4.9123 4.9123 4.9851
angles: 90.00 90.00 90.00
Last column: nearest neighbours and their distance in Å.
Positions (direct):
Zn1 0.0000 0.5000 0.0000  2 Os 2.46
Zn2 0.5000 0.0000 0.0000  2 Os 2.46
Ag1 0.0000 0.0000 0.5000  4 Te 3.47, 8 Zn 3.50
Te1 0.5000 0.5000 0.5000  2 Os 2.49
Os1 0.5000 0.5000 0.0000  4 Zn 2.46, 2 Te 2.49

For the formation energy from raw total energies, the calculation gives 0.597 eV/atom.

***

Here is Ce2TmCuSe5 after structural relaxation from the Alexandria database. Energies are from PBE.

abc: 8.8339 8.8339 12.3743
angles: 90.00 90.00 153.61
Last column: nearest neighbours and their distance in Å.
Positions (direct):
Ce1 0.1112 0.8888 0.5000  7 Se 3.00-3.20
Ce2 0.1194 0.8806 0.8484  8 Se 2.99-3.21
Ce3 0.8806 0.1194 0.3484  8 Se 2.99-3.21
Ce4 0.8888 0.1112 0.0000  7 Se 3.00-3.20
Tm1 0.1792 0.8208 0.1776  6 Se 2.78-2.86
Tm2 0.8208 0.1792 0.6776  6 Se 2.78-2.86
Cu1 0.4446 0.5554 0.5772  4 Se 2.39-2.48
Cu2 0.5554 0.4446 0.0772  4 Se 2.39-2.48
Se1 0.0174 0.9826 0.1725  2 Cu 2.43
Se2 0.3040 0.6960 0.8379  2 Tm 2.84, 1 Ce 3.18
Se3 0.3077 0.6923 0.5142  1 Cu 2.48
Se4 0.3439 0.6561 0.1727  1 Tm 2.83, 4 Ce 3.03-3.04
Se5 0.4967 0.5033 0.9019  1 Cu 2.39
Se6 0.5033 0.4967 0.4019  1 Cu 2.39
Se7 0.6561 0.3439 0.6727  1 Tm 2.83, 4 Ce 3.03-3.04
Se8 0.6923 0.3077 0.0142  1 Cu 2.48
Se9 0.6960 0.3040 0.3379  2 Tm 2.84, 1 Ce 3.18
Se10 0.9826 0.0174 0.6725  2 Cu 2.43

For the formation energy from raw total energies, the calculation gives -1.570 eV/atom.

***

no.,uncorrected energy (eV per atom)
1,-3.434
2,-3.787
3,-6.996
4,-5.178
5,-3.357
6,-5.776